Entry i
The following is a DFT calculation (GGA-PBE) of RbOsSeBr2 after structural relaxation.

Lattice parameters (Å, degrees): 6.2654 6.2654 6.2404 90.00 90.00 90.00
Space group P4/mmm (No. 123)
Symmetry-distinct sites (fractional):
Rb (0.0000, 0.0000, 0.0000)
Os (0.5000, 0.5000, 0.5000)
Se (0.0000, 0.0000, 0.5000)
Br (0.0000, 0.5000, 0.0000)



Entry ii
The following is a DFT calculation (GGA-PBE) of RbOsSeBr2 after structural relaxation.

Lattice parameters (Å, degrees): 5.5060 5.5060 4.6605 90.00 90.00 90.00
Space group P4/mmm (No. 123)
Symmetry-distinct sites (fractional):
Rb (0.0000, 0.0000, 0.0000)
Os (0.5000, 0.5000, 0.5000)
Se (0.5000, 0.5000, 0.0000)
Br (0.0000, 0.5000, 0.5000)



Most stable structure, least stable structure: entry ii, entry i.



Entry i
The following is a DFT calculation (GGA-PBE) of ReOsBr2 after structural relaxation.

Lattice parameters (Å, degrees): 6.4163 6.4163 6.4163 90.00 90.00 90.00
Space group Fm-3m (No. 225)
Symmetry-distinct sites (fractional):
Re (0.0000, 0.0000, 0.0000)
Os (0.0000, 0.0000, 0.5000)
Br (0.2500, 0.2500, 0.2500)



Entry ii
The following is a DFT calculation (GGA-PBE) of ReOsBr2 after structural relaxation.

Lattice parameters (Å, degrees): 4.5360 4.5360 3.2074 90.00 90.00 90.00
Space group P4/mmm (No. 123)
Symmetry-distinct sites (fractional):
Re (0.0000, 0.0000, 0.0000)
Os (0.5000, 0.5000, 0.0000)
Br (0.0000, 0.5000, 0.5000)



Entry iii
The following is a DFT calculation (GGA-PBE) of ReOsBr2 after structural relaxation.

Lattice parameters (Å, degrees): 3.0971 3.4154 18.0957 90.00 90.00 90.00
Space group Imm2 (No. 44)
Symmetry-distinct sites (fractional):
Re (0.0000, 0.0000, 0.0000)
Os (0.0000, 0.5000, 0.0866)
Br (0.0000, 0.0000, 0.4003)
Br (0.0000, 0.5000, 0.6892)



Most stable structure, least stable structure: entry iii, entry ii.



Entry i
The following is a DFT calculation (GGA-PBE) of ReOsBr2 after structural relaxation.

Lattice parameters (Å, degrees): 5.8160 9.0137 3.1042 90.00 119.30 90.00
Space group C2/m (No. 12)
Symmetry-distinct sites (fractional):
Re (0.0000, 0.0000, 0.0000)
Os (0.0000, 0.5000, 0.0000)
Br (0.2500, 0.2500, 0.0000)



Entry ii
The following is a DFT calculation (GGA-PBE) of ReOsBr2 after structural relaxation.

Lattice parameters (Å, degrees): 2.9054 5.3967 9.0413 90.00 90.00 90.00
Space group Cmmm (No. 65)
Symmetry-distinct sites (fractional):
Re (0.0000, 0.0000, 0.0000)
Os (0.0000, 0.0000, 0.5000)
Br (0.0000, 0.5000, 0.2477)



Most stable structure, least stable structure: entry i, entry ii.



Entry i
The following is a DFT calculation (GGA-PBE) of ReOs3Br after structural relaxation.

Lattice parameters (Å, degrees): 4.8083 4.8083 4.8083 90.00 90.00 90.00
Space group Pm-3m (No. 221)
Symmetry-distinct sites (fractional):
Re (0.0000, 0.0000, 0.0000)
Os (0.0000, 0.0000, 0.5000)
Br (0.5000, 0.5000, 0.5000)



Entry ii
The following is a DFT calculation (GGA-PBE) of ReOs3Br after structural relaxation.

Lattice parameters (Å, degrees): 4.4867 4.4867 4.4867 90.00 90.00 90.00
Space group Pm-3m (No. 221)
Symmetry-distinct sites (fractional):
Re (0.0000, 0.0000, 0.0000)
Os (0.0000, 0.5000, 0.5000)
Br (0.5000, 0.5000, 0.5000)



Most stable structure, least stable structure: entry i, entry ii.



Entry i
The following is a DFT calculation (GGA-PBE) of OsRhBr2 after structural relaxation.

Lattice parameters (Å, degrees): 3.7487 3.7487 10.3648 90.00 90.00 90.00
Space group I-4m2 (No. 119)
Symmetry-distinct sites (fractional):
Os (0.0000, 0.0000, 0.0000)
Rh (0.0000, 0.5000, 0.7500)
Br (0.0000, 0.0000, 0.5000)
Br (0.0000, 0.5000, 0.2500)



Entry ii
The following is a DFT calculation (GGA-PBE) of OsRhBr2 after structural relaxation.

Lattice parameters (Å, degrees): 3.5360 4.1703 13.1163 90.00 90.00 90.00
Space group Immm (No. 71)
Symmetry-distinct sites (fractional):
Os (0.0000, 0.0000, 0.0000)
Rh (0.0000, 0.0000, 0.5000)
Br (0.0000, 0.5000, 0.3619)



Most stable structure, least stable structure: entry ii, entry i.



Entry i
The following is a DFT calculation (GGA-PBE) of Os3RhBr after structural relaxation.

Lattice parameters (Å, degrees): 4.4975 4.4975 4.4975 90.00 90.00 90.00
Space group Pm-3m (No. 221)
Symmetry-distinct sites (fractional):
Os (0.0000, 0.0000, 0.5000)
Rh (0.5000, 0.5000, 0.5000)
Br (0.0000, 0.0000, 0.0000)



Entry ii
The following is a DFT calculation (GGA-PBE) of Os3RhBr after structural relaxation.

Lattice parameters (Å, degrees): 4.8008 4.8008 4.8008 90.00 90.00 90.00
Space group Pm-3m (No. 221)
Symmetry-distinct sites (fractional):
Os (0.0000, 0.0000, 0.5000)
Rh (0.0000, 0.0000, 0.0000)
Br (0.5000, 0.5000, 0.5000)



Most stable structure, least stable structure: entry i, entry ii.



Entry i
The following is a DFT calculation (GGA-PBE) of Os3RuBr after structural relaxation.

Lattice parameters (Å, degrees): 4.7594 4.7594 4.7594 90.00 90.00 90.00
Space group Pm-3m (No. 221)
Symmetry-distinct sites (fractional):
Os (0.0000, 0.0000, 0.5000)
Ru (0.0000, 0.0000, 0.0000)
Br (0.5000, 0.5000, 0.5000)



Entry ii
The following is a DFT calculation (GGA-PBE) of Os3RuBr after structural relaxation.

Lattice parameters (Å, degrees): 4.4841 4.4841 4.4841 90.00 90.00 90.00
Space group Pm-3m (No. 221)
Symmetry-distinct sites (fractional):
Os (0.0000, 0.0000, 0.5000)
Ru (0.5000, 0.5000, 0.5000)
Br (0.0000, 0.0000, 0.0000)



Most stable structure, least stable structure: entry i, entry ii.



Entry i
The following is a DFT calculation (GGA-PBE) of OsRuBr2 after structural relaxation.

Lattice parameters (Å, degrees): 2.9432 5.5008 8.7441 90.00 90.00 90.00
Space group Cmmm (No. 65)
Symmetry-distinct sites (fractional):
Os (0.0000, 0.0000, 0.0000)
Ru (0.0000, 0.0000, 0.5000)
Br (0.0000, 0.5000, 0.2514)



Entry ii
The following is a DFT calculation (GGA-PBE) of OsRuBr2 after structural relaxation.

Lattice parameters (Å, degrees): 3.0894 3.0894 24.4616 90.00 90.00 120.00
Space group R-3m (No. 166, hexagonal axes)
Symmetry-distinct sites (fractional):
Os (0.0000, 0.0000, 0.0000)
Ru (0.0000, 0.0000, 0.5000)
Br (0.0000, 0.0000, 0.2481)



Most stable structure, least stable structure: entry ii, entry i.



Entry i
The following is a DFT calculation (GGA-PBE) of OsRuBr2 after structural relaxation.

Lattice parameters (Å, degrees): 2.9362 4.1433 7.4618 90.00 90.00 90.00
Space group Pmm2 (No. 25)
Symmetry-distinct sites (fractional):
Os (0.0000, 0.0000, 0.0000)
Ru (0.5000, 0.5000, 0.0832)
Br (0.0000, 0.0000, 0.3305)
Br (0.5000, 0.5000, 0.7513)



Entry ii
The following is a DFT calculation (GGA-PBE) of OsRuBr2 after structural relaxation.

Lattice parameters (Å, degrees): 2.8513 5.4383 10.4981 90.00 90.00 90.00
Space group Cmm2 (No. 35)
Symmetry-distinct sites (fractional):
Os (0.0000, 0.0000, 0.0000)
Ru (0.0000, 0.5000, 0.1984)
Br (0.0000, 0.0000, 0.4152)
Br (0.0000, 0.5000, 0.7823)



Most stable structure, least stable structure: entry i, entry ii.



Entry i
The following is a DFT calculation (GGA-PBE) of OsRuBr2 after structural relaxation.

Lattice parameters (Å, degrees): 14.5499 3.0040 4.3753 90.00 91.39 90.00
Space group C2/m (No. 12)
Symmetry-distinct sites (fractional):
Os (0.0000, 0.0000, 0.0000)
Ru (0.0000, 0.5000, 0.5000)
Br (0.1491, 0.0000, 0.7480)



Entry ii
The following is a DFT calculation (GGA-PBE) of OsRuBr2 after structural relaxation.

Lattice parameters (Å, degrees): 3.0236 3.0236 8.9527 90.00 90.00 90.00
Space group P4mm (No. 99)
Symmetry-distinct sites (fractional):
Os (0.0000, 0.0000, 0.0000)
Ru (0.5000, 0.5000, 0.1657)
Br (0.0000, 0.0000, 0.3802)
Br (0.5000, 0.5000, 0.7867)



Entry iii
The following is a DFT calculation (GGA-PBE) of OsRuBr2 after structural relaxation.

Lattice parameters (Å, degrees): 3.2132 3.2132 6.4202 90.00 90.00 90.00
Space group P4/mmm (No. 123)
Symmetry-distinct sites (fractional):
Os (0.0000, 0.0000, 0.0000)
Ru (0.0000, 0.0000, 0.5000)
Br (0.5000, 0.5000, 0.2519)



Entry iv
The following is a DFT calculation (GGA-PBE) of OsRuBr2 after structural relaxation.

Lattice parameters (Å, degrees): 2.9415 4.3752 5.5108 90.00 90.00 90.00
Space group Pmmm (No. 47)
Symmetry-distinct sites (fractional):
Os (0.0000, 0.0000, 0.0000)
Ru (0.5000, 0.0000, 0.5000)
Br (0.0000, 0.5000, 0.5000)
Br (0.5000, 0.5000, 0.0000)



Most stable structure, least stable structure: entry ii, entry iii.



Entry i
The following is a DFT calculation (GGA-PBE) of OsRuBr2 after structural relaxation.

Lattice parameters (Å, degrees): 3.0992 4.3663 5.2530 90.00 94.43 90.00
Space group P2/m (No. 10)
Symmetry-distinct sites (fractional):
Os (0.0000, 0.0000, 0.0000)
Ru (0.5000, 0.0000, 0.5000)
Br (0.2405, 0.5000, 0.2501)



Entry ii
The following is a DFT calculation (GGA-PBE) of OsRuBr2 after structural relaxation.

Lattice parameters (Å, degrees): 6.5802 6.5802 6.5802 90.00 90.00 90.00
Space group F-43m (No. 216)
Symmetry-distinct sites (fractional):
Os (0.0000, 0.0000, 0.0000)
Ru (0.2500, 0.2500, 0.7500)
Br (0.0000, 0.0000, 0.5000)
Br (0.2500, 0.2500, 0.2500)



Most stable structure, least stable structure: entry i, entry ii.



Entry i
The following is a DFT calculation (GGA-PBE) of OsRuBr2 after structural relaxation.

Lattice parameters (Å, degrees): 6.3334 3.5902 8.6476 90.00 100.08 90.00
Space group Cm (No. 8)
Symmetry-distinct sites (fractional):
Os (0.0000, 0.0000, 0.0000)
Ru (0.1350, 0.5000, 0.8637)
Br (0.0059, 0.5000, 0.2264)
Br (0.2629, 0.0000, 0.6503)



Entry ii
The following is a DFT calculation (GGA-PBE) of OsRuBr2 after structural relaxation.

Lattice parameters (Å, degrees): 6.0143 6.0143 9.6702 90.00 90.00 90.00
Space group I-42d (No. 122)
Symmetry-distinct sites (fractional):
Os (0.0000, 0.0000, 0.0000)
Ru (0.0000, 0.0000, 0.5000)
Br (0.2484, 0.2500, 0.1250)



Most stable structure, least stable structure: entry i, entry ii.



Entry i
The following is a DFT calculation (GGA-PBE) of OsRuBr2 after structural relaxation.

Lattice parameters (Å, degrees): 6.4277 6.4277 6.4277 90.00 90.00 90.00
Space group Fm-3m (No. 225)
Symmetry-distinct sites (fractional):
Os (0.0000, 0.0000, 0.0000)
Ru (0.0000, 0.0000, 0.5000)
Br (0.2500, 0.2500, 0.2500)



Entry ii
The following is a DFT calculation (GGA-PBE) of OsRuBr2 after structural relaxation.

Lattice parameters (Å, degrees): 3.0638 3.4610 17.6995 90.00 90.00 90.00
Space group Imm2 (No. 44)
Symmetry-distinct sites (fractional):
Os (0.0000, 0.0000, 0.0000)
Ru (0.0000, 0.5000, 0.9122)
Br (0.0000, 0.0000, 0.5982)
Br (0.0000, 0.5000, 0.3134)



Most stable structure, least stable structure: entry ii, entry i.